Record 1
# PuCd2ClO4

Crystalline PuCd2ClO4 at its relaxed geometry (PBE-GGA, Alexandria via LeMat-Bulk).

## Properties
Crystal system: monoclinic
E_form (uncorrected): -1677 meV/atom
Space group: C2/m
Electronic total energy: -51.254 eV for the cell shown

The structure in POSCAR format:
```
PuCd2ClO4
1.0
5.309 -1.683 0.000
5.309 1.683 0.000
-3.977 0.000 8.209
Pu Cd Cl O
1 2 1 4
Cartesian
0.000 0.000 0.000 Pu
-1.364 0.000 6.203 Cd
8.005 0.000 2.006 Cd
3.321 0.000 4.104 Cl
1.257 0.000 1.576 O
4.152 0.000 0.885 O
2.489 0.000 7.323 O
5.384 0.000 6.632 O
```

---

Record 2
# Rb3Cd2Cl3O2

Crystalline Rb3Cd2Cl3O2 at its relaxed geometry (PBE-GGA, Alexandria via LeMat-Bulk).

## Properties
Crystal system: tetragonal
E_form (uncorrected): -1473 meV/atom
Space group: I4/mmm
Electronic total energy: -34.917 eV for the cell shown

The structure in POSCAR format:
```
Rb3Cd2Cl3O2
1.0
-2.261 2.261 13.229
2.261 -2.261 13.229
2.261 2.261 -13.229
Rb Cd Cl O
3 2 3 2
Cartesian
0.000 0.000 0.000 Rb
0.000 0.000 9.676 Rb
0.000 0.000 16.782 Rb
0.000 0.000 6.099 Cd
0.000 0.000 20.359 Cd
0.000 0.000 3.316 Cl
0.000 0.000 13.229 Cl
0.000 0.000 23.143 Cl
2.261 0.000 6.615 O
0.000 2.261 6.615 O
```

---

Please write out number 1 again, unchanged.
# PuCd2ClO4

Crystalline PuCd2ClO4 at its relaxed geometry (PBE-GGA, Alexandria via LeMat-Bulk).

## Properties
Crystal system: monoclinic
E_form (uncorrected): -1677 meV/atom
Space group: C2/m
Electronic total energy: -51.254 eV for the cell shown

The structure in POSCAR format:
```
PuCd2ClO4
1.0
5.309 -1.683 0.000
5.309 1.683 0.000
-3.977 0.000 8.209
Pu Cd Cl O
1 2 1 4
Cartesian
0.000 0.000 0.000 Pu
-1.364 0.000 6.203 Cd
8.005 0.000 2.006 Cd
3.321 0.000 4.104 Cl
1.257 0.000 1.576 O
4.152 0.000 0.885 O
2.489 0.000 7.323 O
5.384 0.000 6.632 O
```